This record from Alexandria via LeMat-Bulk describes crystalline Pr4Zn2Ag5 at its relaxed geometry. The functional is GGA-PBE.

Calculated values
Final energy = -3.494 eV per atom
Formation energy = -22.00 kJ/mol of atoms
Fermi-level density of states = 0.7233 states/eV/atom

Cell and atoms, written as extended XYZ:
```
11
Lattice="-1.251 -1.894 -3.148 4.037 -6.307 2.192 -6.949 -3.370 4.789" Properties=species:S:1:pos:R:3 pbc="T T T"
Zn 1.144 -7.175 3.863
Pr -5.726 -5.234 3.032
Pr 1.563 -6.337 0.801
Zn -4.056 -2.502 3.117
Pr -2.033 -7.695 3.046
Ag -2.563 -8.482 6.122
Pr -2.130 -3.876 0.786
Ag -0.350 -1.195 0.858
Ag 2.019 -3.153 1.096
Ag -2.779 -4.707 3.936
Ag -0.133 -4.970 3.044
```